A relaxed structure of KNpMnN4, computed with GGA-PBE.

Lattice parameters (Å, degrees): 5.654 5.462 7.621 90.00 106.82 90.00
Fractional coordinates of all 14 atoms:
K1 0.700 0.750 0.927
K2 0.300 0.250 0.073
Np1 0.762 0.750 0.445
Np2 0.238 0.250 0.555
Mn1 0.225 0.750 0.336
Mn2 0.775 0.250 0.664
N1 0.973 0.493 0.674
N2 0.027 0.993 0.326
N3 0.027 0.507 0.326
N4 0.973 0.007 0.674
N5 0.445 0.750 0.214
N6 0.555 0.250 0.786
N7 0.436 0.750 0.550
N8 0.564 0.250 0.450



A relaxed structure of CrTePN2, computed with GGA-PBE.

Lattice parameters (Å, degrees): 3.547 3.547 7.053 90.00 90.00 90.00
Fractional coordinates of all 5 atoms:
Cr1 0.500 0.500 0.500
N1 0.000 0.500 0.000
N2 0.500 0.000 0.000
Te1 0.000 0.000 0.500
P1 0.000 0.000 0.000

Computed properties:
The energy above the most stable polymorph in this dataset comes out at 250.6 meV/atom.



A relaxed structure of LiLaSmSb, computed with GGA-PBE.

Lattice parameters (Å, degrees): 5.390 5.390 5.390 60.00 60.00 60.00
Fractional coordinates of all 4 atoms:
Sb1 0.500 0.500 0.500
Li1 0.000 0.000 0.000
Sm1 0.250 0.250 0.250
La1 0.750 0.750 0.750



Values for energy relative to the elements, uncorrected, eV/atom, ordered as above
-0.441; 1.038; -0.512
Values for volume, Å³/atom, ordered as above
16.09; 17.75; 27.68